Record 1
Density functional theory data (PBE) for a relaxed HgAu4 crystal.

abc: 5.0867 5.0548 7.8017
angles: 108.40 90.00 90.00
Fractional coordinates of all 10 atoms:
Au  0.9999  0.8037  0.5983
Au  0.0001  0.1963  0.4017
Hg  0.0000  0.0000  0.0000
Au  0.5001  0.3037  0.0983
Hg  0.5000  0.5000  0.5000
Au  0.4998  0.0990  0.7029
Au  0.0002  0.5990  0.2029
Au  0.9998  0.4010  0.7971
Au  0.4999  0.6963  0.9017
Au  0.5002  0.9010  0.2971

Computed properties:
Calculated formation energy ... 0.059 eV per atom
Magnetization ... 0.0 μB/f.u.
Crystal system ... monoclinic

Record 2
Density functional theory data (PBE) for a relaxed Hg2Au crystal.

abc: 9.1336 9.1336 4.3798
angles: 90.00 90.00 158.34
Fractional coordinates of all 6 atoms:
Hg  0.7824  0.2176  0.7500
Hg  0.5595  0.4405  0.2500
Hg  0.4405  0.5595  0.7500
Au  0.1057  0.8943  0.7500
Au  0.8943  0.1057  0.2500
Hg  0.2176  0.7824  0.2500

Computed properties:
Calculated formation energy ... 0.119 eV per atom
Magnetization ... 0.0 μB/f.u.
Crystal system ... orthorhombic

Record 3
Density functional theory data (PBE) for a relaxed HgAu3 crystal.

abc: 5.4104 5.4104 5.4104
angles: 90.00 90.00 90.00
Fractional coordinates of all 8 atoms:
Au  0.2500  0.5000  0.0000
Hg  0.0000  0.0000  0.0000
Au  0.0000  0.7500  0.5000
Au  0.7500  0.5000  0.0000
Au  0.0000  0.2500  0.5000
Au  0.5000  0.0000  0.7500
Au  0.5000  0.0000  0.2500
Hg  0.5000  0.5000  0.5000

Computed properties:
Calculated formation energy ... 0.148 eV per atom
Magnetization ... 0.0 μB/f.u.
Crystal system ... cubic

Record 4
Density functional theory data (PBE) for a relaxed HgAu8 crystal.

abc: 7.7028 7.7028 7.7028
angles: 92.08 92.08 158.04
Fractional coordinates of all 9 atoms:
Au  0.6656  0.0000  0.6656
Au  0.3313  0.6687  0.0000
Au  0.0000  0.3344  0.3344
Au  0.6687  0.6687  0.3375
Au  0.6687  0.3313  0.0000
Au  0.3344  0.0000  0.3344
Hg  0.0000  0.0000  0.0000
Au  0.3313  0.3313  0.6625
Au  0.0000  0.6656  0.6656

Computed properties:
Calculated formation energy ... 0.035 eV per atom
Magnetization ... 0.0 μB/f.u.
Crystal system ... tetragonal

Record 5
Density functional theory data (PBE) for a relaxed Hg7Au crystal.

abc: 6.5298 6.5298 6.5298
angles: 60.00 60.00 60.00
Fractional coordinates of all 8 atoms:
Hg  0.5000  0.5000  0.0000
Hg  0.5000  0.5000  0.5000
Hg  0.0000  0.0000  0.5000
Hg  0.5000  0.0000  0.0000
Hg  0.0000  0.5000  0.0000
Hg  0.5000  0.0000  0.5000
Au  0.0000  0.0000  0.0000
Hg  0.0000  0.5000  0.5000

Computed properties:
Calculated formation energy ... 0.127 eV per atom
Magnetization ... 0.0 μB/f.u.
Crystal system ... cubic

Record 6
Density functional theory data (PBE) for a relaxed HgAu2 crystal.

abc: 3.0883 3.0883 7.1295
angles: 90.00 90.00 120.00
Fractional coordinates of all 3 atoms:
Au  0.0000  0.0000  0.9938
Hg  0.6667  0.3333  0.3333
Au  0.3333  0.6667  0.6728

Computed properties:
Calculated formation energy ... 0.103 eV per atom
Magnetization ... 0.0 μB/f.u.
Crystal system ... trigonal

Record 7
Density functional theory data (PBE) for a relaxed Hg4Au5 crystal.

abc: 6.7924 6.7924 6.7924
angles: 95.93 95.93 142.50
Fractional coordinates of all 9 atoms:
Hg  0.3232  0.0000  0.3232
Hg  0.0000  0.6768  0.6768
Hg  0.0000  0.3232  0.3232
Au  0.0000  0.0000  0.0000
Au  0.6642  0.6642  0.3285
Au  0.3358  0.3358  0.6715
Au  0.3358  0.6642  0.0000
Au  0.6642  0.3358  0.0000
Hg  0.6768  0.0000  0.6768

Computed properties:
Calculated formation energy ... 0.106 eV per atom
Magnetization ... 0.0 μB/f.u.
Crystal system ... tetragonal

Record 8
Density functional theory data (PBE) for a relaxed HgAu2 crystal.

abc: 4.9088 4.9088 2.8503
angles: 90.00 90.00 120.00
Fractional coordinates of all 3 atoms:
Hg  0.0000  0.0000  0.0000
Au  0.6667  0.3333  0.5000
Au  0.3333  0.6667  0.5000

Computed properties:
Calculated formation energy ... 0.118 eV per atom
Magnetization ... 0.0 μB/f.u.
Crystal system ... hexagonal

Record 9
Density functional theory data (PBE) for a relaxed HgAu2 crystal.

abc: 4.2513 4.2544 6.7179
angles: 73.58 90.00 90.00
Fractional coordinates of all 6 atoms:
Au  0.5000  0.5000  0.0000
Hg  0.0000  0.6594  0.6723
Au  0.0000  0.0000  0.0000
Au  0.5000  0.8438  0.3265
Hg  0.0000  0.3406  0.3277
Au  0.5000  0.1562  0.6735

Computed properties:
Calculated formation energy ... 0.082 eV per atom
Magnetization ... 0.0 μB/f.u.
Crystal system ... monoclinic

Record 10
Density functional theory data (PBE) for a relaxed Hg2Au crystal.

abc: 5.8256 5.8256 5.8256
angles: 60.00 60.00 60.00
Fractional coordinates of all 6 atoms:
Au  0.7500  0.7500  0.7500
Hg  0.1250  0.6250  0.1250
Hg  0.1250  0.1250  0.1250
Hg  0.6250  0.1250  0.1250
Hg  0.1250  0.1250  0.6250
Au  0.5000  0.5000  0.5000

Computed properties:
Calculated formation energy ... 0.399 eV per atom
Magnetization ... 0.0 μB/f.u.
Crystal system ... cubic

Record 11
Density functional theory data (PBE) for a relaxed HgAu3 crystal.

abc: 5.7224 5.7224 5.7224
angles: 149.27 126.60 62.88
Fractional coordinates of all 4 atoms:
Au  0.0028  0.0043  0.9985
Au  0.0815  0.7500  0.3315
Hg  0.5882  0.2500  0.3382
Au  0.4942  0.4957  0.9985

Computed properties:
Calculated formation energy ... 0.051 eV per atom
Magnetization ... 0.0 μB/f.u.
Crystal system ... orthorhombic

Record 12
Density functional theory data (PBE) for a relaxed HgAu3 crystal.

abc: 2.8917 4.7707 5.6456
angles: 90.00 100.76 90.00
Fractional coordinates of all 4 atoms:
Au  0.5000  0.5000  0.0000
Hg  0.0000  0.5000  0.5000
Au  0.2640  0.0000  0.2441
Au  0.7360  0.0000  0.7559

Computed properties:
Calculated formation energy ... 0.080 eV per atom
Magnetization ... 0.0 μB/f.u.
Crystal system ... monoclinic